[1]
Pm2Sc3Ir2: relaxed, PBE-GGA.

Cell and atoms, written as extended XYZ:
```
7
Lattice="3.616 0.000 1.016 1.375 5.606 2.047 -0.308 -0.281 8.038" Properties=species:S:1:pos:R:3 pbc="T T T"
Pm 1.170 2.679 2.777
Pm 3.513 2.647 8.325
Sc 2.344 4.462 5.541
Sc 1.808 0.000 0.508
Sc 2.339 0.863 5.560
Ir 1.606 4.908 8.166
Ir 3.077 0.417 2.935
```

Summary:
Total DFT energy (no corrections) in eV/atom: -7.212
Energy of formation from the pure elements in kJ/mol of atoms: -59

---

[2]
LiVRh4: relaxed, PBE-GGA.

Cell and atoms, written as extended XYZ:
```
12
Lattice="4.825 0.000 -0.772 0.000 7.519 0.000 -1.115 0.000 4.727" Properties=species:S:1:pos:R:3 pbc="T T T"
Rh 3.369 2.547 3.557
Rh -0.151 6.282 2.731
Rh 3.861 1.237 1.224
Rh 1.448 2.522 1.610
Rh 0.341 4.972 0.398
Rh 2.262 4.996 2.345
Rh 2.753 6.306 0.012
Rh 0.957 1.213 3.943
V 1.855 0.000 1.978
V -0.558 3.759 2.364
Li 0.000 0.000 0.000
Li 2.413 3.759 -0.386
```

Summary:
Total DFT energy (no corrections) in eV/atom: -6.843
Energy of formation from the pure elements in kJ/mol of atoms: -10

---

Computed Fermi-level density of states (states/eV per atom) in order:
1.095; 1.251
Computed density (g/cm³) in order:
8.08; 9.45